A relaxed structure of K2TiBr, computed with GGA-PBEsol.

Unit cell a=5.994 b=5.994 c=5.994 alpha=60.00 beta=60.00 gamma=60.00
Element x y z (fractional)
K 0.250 0.250 0.250
K 0.750 0.750 0.750
Ti 0.000 0.000 0.000
Br 0.500 0.500 0.500

Values from the calculation:
Formation energy from raw total energies in eV per atom: 0.350
ρ in Mg/m³: 2.25
Density of states at the Fermi level in states/eV/atom: 1.12

---

A relaxed structure of YPb2Se, computed with GGA-PBEsol.

Unit cell a=3.694 b=4.947 c=5.675 alpha=90.00 beta=90.00 gamma=90.00
Element x y z (fractional)
Y 0.000 0.000 0.000
Pb 0.000 0.500 0.500
Pb 0.500 0.000 0.500
Se 0.500 0.500 0.000

Values from the calculation:
Formation energy from raw total energies in eV per atom: -0.552
ρ in Mg/m³: 9.32
Density of states at the Fermi level in states/eV/atom: 0.54

---

A relaxed structure of MgZnSe2, computed with GGA-PBEsol.

Unit cell a=5.138 b=5.138 c=3.940 alpha=110.25 beta=110.25 gamma=87.48
Element x y z (fractional)
Mg 0.000 0.000 0.000
Zn 0.500 0.500 0.000
Se 0.000 0.500 0.000
Se 0.500 0.000 0.000

Values from the calculation:
Formation energy from raw total energies in eV per atom: -0.468
ρ in Mg/m³: 4.51
Density of states at the Fermi level in states/eV/atom: 0.31

---

A relaxed structure of CeBO3, computed with GGA-PBEsol.

Unit cell a=5.689 b=5.054 c=8.123 alpha=90.00 beta=90.00 gamma=90.00
Element x y z (fractional)
Ce 0.244 0.250 0.086
Ce 0.256 0.750 0.586
Ce 0.744 0.250 0.414
Ce 0.756 0.750 0.914
B 0.084 0.250 0.740
B 0.416 0.750 0.240
B 0.584 0.250 0.760
B 0.916 0.750 0.260
O 0.089 0.015 0.826
O 0.089 0.485 0.826
O 0.097 0.250 0.571
O 0.403 0.750 0.071
O 0.411 0.515 0.326
O 0.411 0.985 0.326
O 0.589 0.015 0.674
O 0.589 0.485 0.674
O 0.597 0.250 0.929
O 0.903 0.750 0.429
O 0.911 0.515 0.174
O 0.911 0.985 0.174

Values from the calculation:
Formation energy from raw total energies in eV per atom: -2.951
ρ in Mg/m³: 5.66
Density of states at the Fermi level in states/eV/atom: 1.41

---

A relaxed structure of HgTe2AsW, computed with GGA-PBEsol.

Unit cell a=5.435 b=5.435 c=4.920 alpha=90.00 beta=90.00 gamma=90.00
Element x y z (fractional)
Hg 0.000 0.000 0.000
Te 0.000 0.500 0.000
Te 0.500 0.000 0.000
As 0.000 0.000 0.500
W 0.500 0.500 0.500

Values from the calculation:
Formation energy from raw total energies in eV per atom: 1.827
ρ in Mg/m³: 8.16
Density of states at the Fermi level in states/eV/atom: 0.78

---

A relaxed structure of CrCd3As, computed with GGA-PBEsol.

Unit cell a=5.063 b=5.063 c=5.063 alpha=90.00 beta=90.00 gamma=90.00
Element x y z (fractional)
Cr 0.000 0.000 0.000
Cd 0.000 0.000 0.500
Cd 0.000 0.500 0.000
Cd 0.500 0.000 0.000
As 0.500 0.500 0.500

Values from the calculation:
ρ in Mg/m³: 5.94
Calculated formation energy in meV/atom: 1024
Density of states at the Fermi level in states/eV/atom: 0.63

---

A relaxed structure of MnAlCd2, computed with GGA-PBEsol.

Unit cell a=5.589 b=5.589 c=5.589 alpha=148.64 beta=129.76 gamma=60.43
Element x y z (fractional)
Mn 0.000 0.000 0.000
Al 0.210 0.710 0.500
Cd 0.482 0.482 0.000
Cd 0.759 0.259 0.500

Values from the calculation:
ρ in Mg/m³: 7.35
Calculated formation energy in meV/atom: 226
Density of states at the Fermi level in states/eV/atom: 0.49

---

A relaxed structure of ScFe2Ni2, computed with GGA-PBEsol.

Unit cell a=5.619 b=5.619 c=5.619 alpha=142.15 beta=142.15 gamma=54.61
Element x y z (fractional)
Sc 0.000 0.000 0.000
Fe 0.392 0.392 0.000
Fe 0.608 0.608 0.000
Ni 0.250 0.750 0.500
Ni 0.750 0.250 0.500

Values from the calculation:
ρ in Mg/m³: 6.86
Calculated formation energy in meV/atom: 17
Density of states at the Fermi level in states/eV/atom: 0.70
Relative energy among the computed polymorphs in meV per atom: 60.4

---

A relaxed structure of Dy2InHg, computed with GGA-PBEsol.

Unit cell a=5.200 b=5.200 c=5.200 alpha=60.00 beta=60.00 gamma=60.00
Element x y z (fractional)
Dy 0.250 0.250 0.250
Dy 0.750 0.750 0.750
In 0.000 0.000 0.000
Hg 0.500 0.500 0.500

Values from the calculation:
ρ in Mg/m³: 10.70
Calculated formation energy in meV/atom: -539
Density of states at the Fermi level in states/eV/atom: 1.02

---

A relaxed structure of LiGaCo2Cl, computed with GGA-PBEsol.

Unit cell a=4.161 b=4.161 c=4.369 alpha=90.00 beta=90.00 gamma=90.00
Element x y z (fractional)
Li 0.000 0.000 0.000
Ga 0.000 0.000 0.500
Co 0.000 0.500 0.000
Co 0.500 0.000 0.000
Cl 0.500 0.500 0.500

Values from the calculation:
Formation energy from raw total energies in eV per atom: 1.021
ρ in Mg/m³: 5.05
Density of states at the Fermi level in states/eV/atom: 1.07

---

A relaxed structure of Tl2CdCl, computed with GGA-PBEsol.

Unit cell a=9.590 b=9.590 c=9.590 alpha=21.87 beta=21.87 gamma=21.87
Element x y z (fractional)
Tl 0.245 0.245 0.245
Tl 0.755 0.755 0.755
Cd 0.000 0.000 0.000
Cl 0.500 0.500 0.500

Values from the calculation:
Formation energy from raw total energies in eV per atom: -0.298
ρ in Mg/m³: 8.62
Density of states at the Fermi level in states/eV/atom: 0.16
Relative energy among the computed polymorphs in meV per atom: 28.8

---

A relaxed structure of SiAs2Br2, computed with GGA-PBEsol.

Unit cell a=8.400 b=8.400 c=3.123 alpha=90.00 beta=90.00 gamma=90.00
Element x y z (fractional)
Si 0.000 0.000 0.000
Si 0.500 0.500 0.000
As 0.202 0.298 0.500
As 0.298 0.798 0.500
As 0.702 0.202 0.500
As 0.798 0.702 0.500
Br 0.123 0.623 0.000
Br 0.377 0.123 0.000
Br 0.623 0.877 0.000
Br 0.877 0.377 0.000

Values from the calculation:
Formation energy from raw total energies in eV per atom: 0.735
ρ in Mg/m³: 5.09
Density of states at the Fermi level in states/eV/atom: 0.52

---

A relaxed structure of ReOs3N, computed with GGA-PBEsol.

Unit cell a=4.690 b=4.690 c=4.690 alpha=90.00 beta=90.00 gamma=90.00
Element x y z (fractional)
Re 0.000 0.000 0.000
Os 0.000 0.000 0.500
Os 0.000 0.500 0.000
Os 0.500 0.000 0.000
N 0.500 0.500 0.500

Values from the calculation:
Formation energy from raw total energies in eV per atom: 3.648
ρ in Mg/m³: 12.41
Density of states at the Fermi level in states/eV/atom: 1.32
Relative energy among the computed polymorphs in meV per atom: 2968.6

---

A relaxed structure of K3Os2, computed with GGA-PBEsol.

Unit cell a=4.668 b=4.668 c=9.877 alpha=90.00 beta=90.00 gamma=120.00
Element x y z (fractional)
K 0.000 0.000 0.000
K 0.333 0.667 0.297
K 0.667 0.333 0.703
Os 0.333 0.667 0.983
Os 0.667 0.333 0.017

Values from the calculation:
ρ in Mg/m³: 4.44
Calculated formation energy in meV/atom: 1556
Density of states at the Fermi level in states/eV/atom: 0.91

---

A relaxed structure of AlTl2Os, computed with GGA-PBEsol.

Unit cell a=2.981 b=2.981 c=10.231 alpha=90.00 beta=90.00 gamma=113.50
Element x y z (fractional)
Al 0.000 0.000 0.000
Tl 0.000 0.000 0.589
Tl 0.500 0.500 0.265
Os 0.500 0.500 0.824

Values from the calculation:
ρ in Mg/m³: 12.46
Calculated formation energy in meV/atom: 455
Density of states at the Fermi level in states/eV/atom: 0.49
Relative energy among the computed polymorphs in meV per atom: 0.0

---

A relaxed structure of CrReAg, computed with GGA-PBEsol.

Unit cell a=4.330 b=4.330 c=2.601 alpha=90.00 beta=90.00 gamma=120.00
Element x y z (fractional)
Cr 0.000 0.000 0.000
Re 0.667 0.333 0.231
Ag 0.333 0.667 0.658

Values from the calculation:
ρ in Mg/m³: 13.61
Calculated formation energy in meV/atom: 537
Density of states at the Fermi level in states/eV/atom: 0.44

---

A relaxed structure of Mn5Ir, computed with GGA-PBEsol.

Unit cell a=3.993 b=6.617 c=6.617 alpha=22.18 beta=90.00 gamma=90.00
Element x y z (fractional)
Mn 0.000 0.000 0.000
Mn 0.000 0.321 0.321
Mn 0.000 0.661 0.661
Mn 0.500 0.111 0.111
Mn 0.500 0.769 0.769
Ir 0.500 0.440 0.440

Values from the calculation:
ρ in Mg/m³: 11.74
Calculated formation energy in meV/atom: -37
Density of states at the Fermi level in states/eV/atom: 1.16
Relative energy among the computed polymorphs in meV per atom: 25.1

---

A relaxed structure of CaBeGe, computed with GGA-PBEsol.

Unit cell a=3.919 b=3.919 c=4.277 alpha=90.00 beta=90.00 gamma=120.00
Element x y z (fractional)
Ca 0.000 0.000 0.000
Be 0.333 0.667 0.500
Ge 0.667 0.333 0.500

Values from the calculation:
ρ in Mg/m³: 3.55
Calculated formation energy in meV/atom: -426
Density of states at the Fermi level in states/eV/atom: 0.37

---

A relaxed structure of Zn3Cu, computed with GGA-PBEsol.

Unit cell a=4.489 b=4.489 c=2.697 alpha=90.00 beta=90.00 gamma=106.97
Element x y z (fractional)
Zn 0.000 0.000 0.000
Zn 0.000 0.500 0.500
Zn 0.500 0.000 0.500
Cu 0.500 0.500 0.000

Values from the calculation:
ρ in Mg/m³: 8.30
Calculated formation energy in meV/atom: -36
Density of states at the Fermi level in states/eV/atom: 0.19

---

A relaxed structure of Cu2GeAu2, computed with GGA-PBEsol.

Unit cell a=6.446 b=6.446 c=3.620 alpha=90.00 beta=90.00 gamma=90.00
Element x y z (fractional)
Cu 0.139 0.361 0.000
Cu 0.361 0.861 0.000
Cu 0.639 0.139 0.000
Cu 0.861 0.639 0.000
Ge 0.000 0.000 0.000
Ge 0.500 0.500 0.000
Au 0.160 0.660 0.500
Au 0.340 0.160 0.500
Au 0.660 0.840 0.500
Au 0.840 0.340 0.500

Values from the calculation:
ρ in Mg/m³: 13.11
Calculated formation energy in meV/atom: 42
Density of states at the Fermi level in states/eV/atom: 0.35